This record from Alexandria describes crystalline Tb2Pr7Nd2 at its relaxed geometry. The functional is PBE.

As for the spin magnetization: 0.0 Bohr magnetons per cell. For the formation energy, the calculation gives 314 meV/atom. The value obtained for the energy above the lowest structure with this stoichiometry is 2.06 eV per formula unit. Its volume is 406 Å³/cell.

Unit cell a=9.6770 b=7.0474 c=7.0474 alpha=122.35 beta=90.01 gamma=89.99
Sites, in units of the cell vectors:
1 Pr 0.6836 0.0000 0.5000
2 Pr 0.3164 0.5000 0.0000
3 Pr 0.3164 0.0000 0.5000
4 Pr 0.6836 0.5000 0.0000
5 Pr 0.8231 0.5000 0.5000
6 Pr 0.0000 0.0000 0.0000
7 Pr 0.1769 0.5000 0.5000
8 Tb 0.0000 0.2668 0.7332
9 Tb 0.0000 0.7332 0.2668
10 Nd 0.5000 0.7506 0.7506
11 Nd 0.5000 0.2494 0.2494

---

This record from Alexandria describes crystalline LiTl2Ni2 at its relaxed geometry. The functional is PBE.

As for the spin magnetization: 0.0 Bohr magnetons per cell. For the formation energy, the calculation gives 139 meV/atom. The value obtained for the energy above the lowest structure with this stoichiometry is 0.30 eV per formula unit. Its volume is 97 Å³/cell.

Unit cell a=3.4391 b=3.4391 c=8.5347 alpha=78.38 beta=78.38 gamma=90.00
Sites, in units of the cell vectors:
1 Ni 0.7500 0.2500 0.5000
2 Ni 0.2500 0.7500 0.5000
3 Li 0.0000 0.0000 0.0000
4 Tl 0.6205 0.6205 0.7591
5 Tl 0.3795 0.3795 0.2409

---

This record from Alexandria describes crystalline Tl3PtCl6 at its relaxed geometry. The functional is PBE.

As for the spin magnetization: 2.1 Bohr magnetons per cell. The value obtained for the uncorrected formation energy is -0.739 eV per atom. Its volume is 663 Å³/cell.

Unit cell a=8.7276 b=8.7276 c=8.7276 alpha=92.51 beta=92.51 gamma=92.51
Each line ends with the local moment (μB).
Sites, in units of the cell vectors:
1 Tl 0.5697 0.0710 0.2547  0.01
2 Tl 0.9290 0.7453 0.4303  0.01
3 Tl 0.2547 0.5697 0.0710  0.01
4 Tl 0.0710 0.2547 0.5697  0.01
5 Tl 0.7453 0.4303 0.9290  0.01
6 Tl 0.4303 0.9290 0.7453  0.01
7 Cl 0.0518 0.9237 0.7369  0.04
8 Cl 0.7369 0.0518 0.9237  0.04
9 Cl 0.7683 0.4522 0.5732  0.06
10 Cl 0.4522 0.5732 0.7683  0.06
11 Cl 0.9237 0.7369 0.0518  0.04
12 Cl 0.0763 0.2631 0.9482  0.04
13 Cl 0.4268 0.2317 0.5478  0.06
14 Cl 0.2631 0.9482 0.0763  0.04
15 Cl 0.5478 0.4268 0.2317  0.06
16 Cl 0.9482 0.0763 0.2631  0.04
17 Cl 0.2317 0.5478 0.4268  0.06
18 Cl 0.5732 0.7683 0.4522  0.06
19 Pt 0.5000 0.5000 0.5000  0.63
20 Pt 0.0000 0.0000 0.0000  0.45